Record 1
# Mn2MoRuN

Crystalline Mn2MoRuN at its relaxed geometry (GGA-PBE, the Alexandria database).

## Properties
M_tot (μB/atom): 0.28
DOS(E_F) (states/eV per cell): 5.3
Formation energy without anion corrections (eV/atom): -0.08
Final energy (eV for the cell shown): -47.191

```
5
Lattice="-2.630 -0.778 2.613 -2.253 -1.425 -2.692 1.653 -3.684 0.567" Properties=species:S:1:pos:R:3 pbc="T T T"
Ru -1.615 -2.944 0.244
Mo 0.827 -1.842 0.283
Mn -1.126 -0.713 -1.346
Mn -1.315 -0.389 1.307
N 0.000 0.000 0.000
```


Record 2
# MnMoRuN2

Crystalline MnMoRuN2 at its relaxed geometry (GGA-PBE, the Alexandria database).

## Properties
M_tot (μB/atom): 0.10
DOS(E_F) (states/eV per cell): 4.4
Formation energy without anion corrections (eV/atom): 1.16
Final energy (eV for the cell shown): -40.148

```
5
Lattice="3.550 0.000 0.000 0.000 5.235 0.000 0.000 0.000 3.550" Properties=species:S:1:pos:R:3 pbc="T T T"
Ru 0.000 2.617 0.000
Mo 1.775 2.617 1.775
Mn 0.000 0.000 0.000
N 0.000 0.000 1.775
N 1.775 0.000 0.000
```


Record 3
# MnMoSN2

Crystalline MnMoSN2 at its relaxed geometry (GGA-PBE, the Alexandria database).

## Properties
M_tot (μB/atom): 0.56
DOS(E_F) (states/eV per cell): 2.7
Formation energy without anion corrections (eV/atom): 0.76
Final energy (eV for the cell shown): -36.985
Distance to the lowest polymorph of the same formula (eV per atom): 0.424

```
5
Lattice="3.628 0.000 0.000 0.000 3.628 0.000 0.000 0.000 4.744" Properties=species:S:1:pos:R:3 pbc="T T T"
Mo 1.814 1.814 2.372
Mn 0.000 0.000 0.000
S 0.000 0.000 2.372
N 0.000 1.814 0.000
N 1.814 0.000 0.000
```


Record 4
# MnMoSN2

Crystalline MnMoSN2 at its relaxed geometry (GGA-PBE, the Alexandria database).

## Properties
M_tot (μB/atom): 0.97
DOS(E_F) (states/eV per cell): 1.4
Formation energy without anion corrections (eV/atom): 0.33
Final energy (eV for the cell shown): -39.105
Distance to the lowest polymorph of the same formula (eV per atom): 0.000

```
5
Lattice="3.866 0.000 0.000 0.000 3.866 0.000 0.000 0.000 5.080" Properties=species:S:1:pos:R:3 pbc="T T T"
Mo 0.000 0.000 0.000
Mn 1.933 1.933 2.540
S 0.000 0.000 2.540
N 0.000 1.933 0.000
N 1.933 0.000 0.000
```


Record 5
# MnMoSe2N

Crystalline MnMoSe2N at its relaxed geometry (GGA-PBE, the Alexandria database).

## Properties
M_tot (μB/atom): 0.87
DOS(E_F) (states/eV per cell): 2.3
Formation energy without anion corrections (eV/atom): 0.47
Final energy (eV for the cell shown): -32.931
Distance to the lowest polymorph of the same formula (eV per atom): 0.211

```
5
Lattice="4.923 0.000 0.000 0.000 4.923 0.000 0.000 0.000 3.437" Properties=species:S:1:pos:R:3 pbc="T T T"
Mo 2.461 2.461 1.718
Mn 0.000 0.000 0.000
Se 0.000 2.461 0.000
Se 2.461 0.000 0.000
N 0.000 0.000 1.718
```


Record 6
# MnMoSe2N

Crystalline MnMoSe2N at its relaxed geometry (GGA-PBE, the Alexandria database).

## Properties
M_tot (μB/atom): 1.02
DOS(E_F) (states/eV per cell): 2.0
Formation energy without anion corrections (eV/atom): 0.26
Final energy (eV for the cell shown): -33.987
Distance to the lowest polymorph of the same formula (eV per atom): 0.000

```
5
Lattice="5.089 0.000 0.000 0.000 5.089 0.000 0.000 0.000 3.787" Properties=species:S:1:pos:R:3 pbc="T T T"
Mo 0.000 0.000 0.000
Mn 2.544 2.544 1.893
Se 0.000 2.544 0.000
Se 2.544 0.000 0.000
N 0.000 0.000 1.893
```


The highest final energy belongs to which entry?
number 5


Which value of DOS(E_F) does entry 5 give?
2.3 states/eV per cell


What is the formula in the fourth record?
MnMoSN2


Number 3 is which compound?
MnMoSN2